# HgGe2Pb2 PBE optimized geometry
# - DOS at the Fermi energy: 2.6 states/eV/f.u.
# - E above lowest polymorph: 56 meV per atom
# - Energy of formation from the pure elements: 0.200 eV per atom
# - Magnetization: 0.00 μB/cell
data_HgGe2Pb2
_space_group_name_H-M_alt 'I 4/m m m'
_space_group_IT_number 139
_space_group_name_Hall '-I 4 2'
_cell_length_a 5.314
_cell_length_b 5.314
_cell_length_c 10.111
_cell_angle_alpha 90.00
_cell_angle_beta 90.00
_cell_angle_gamma 90.00
loop_
_atom_site_label
_atom_site_fract_x
_atom_site_fract_y
_atom_site_fract_z
Hg1 0.000 0.000 0.000
Ge1 0.000 0.000 0.378
Pb1 0.000 0.500 0.250